Record 1
Computed, not measured: a relaxed structure of Sm2PuTlC at the PBE level of DFT.

Cell lengths 5.1245, 5.1245, 4.7140 Å; angles 90.00, 90.00, 90.00 degrees
Space group P4/mmm (No. 123)
Inequivalent atoms, fractional coordinates:
Sm 0.0000 0.5000 0.0000
Pu 0.0000 0.0000 0.5000
Tl 0.5000 0.5000 0.5000
C 0.0000 0.0000 0.0000

Properties
* crystal system: tetragonal
* size of the total moment: 5.27 μB/f.u.
* calculated total energy: -7.2908 eV/atom
* energy of formation: -219 meV/atom

=====

Record 2
Computed, not measured: a relaxed structure of Ba2Al4Zn3Au at the PBE level of DFT.

Cell lengths 4.6245, 4.6245, 10.8014 Å; angles 90.00, 90.00, 90.00 degrees
Space group P-4m2 (No. 115)
Inequivalent atoms, fractional coordinates:
Ba 0.0000 0.5000 0.2489
Al 0.0000 0.0000 0.5000
Al 0.0000 0.5000 0.8821
Al 0.5000 0.5000 0.5000
Zn 0.0000 0.0000 0.0000
Zn 0.0000 0.5000 0.6294
Au 0.5000 0.5000 0.0000

Properties
* crystal system: tetragonal
* size of the total moment: 0.00 μB/f.u.
* calculated total energy: -2.8844 eV/atom
* energy of formation: -293 meV/atom

=====

The calculation returns the following volume values, one per record and in order: 24.76 23.10 Å³ per atom.